Entry 1:
Computed, not measured: a relaxed YScGa2Pt4 crystal at the PBE level of DFT.

a = 4.340 Å, b = 4.340 Å, c = 8.944 Å
α = 90.00°, β = 90.00°, γ = 120.00°
Element x y z (fractional)
Ga 0.667 0.333 0.254
Ga 0.667 0.333 0.746
Pt 0.000 0.000 0.172
Pt 0.333 0.667 0.345
Pt 0.333 0.667 0.655
Pt 0.000 0.000 0.828
Sc 0.000 0.000 0.500
Y 0.333 0.667 0.000

Entry 2:
Computed, not measured: a relaxed AcNbAs crystal at the PBE level of DFT.

a = 4.748 Å, b = 4.748 Å, c = 4.748 Å
α = 60.00°, β = 60.00°, γ = 60.00°
Site moments in Bohr magnetons follow the coordinates.
Element x y z (fractional)
Ac 0.000 0.000 0.000  0.14
As 0.500 0.500 0.500  -0.01
Nb 0.750 0.750 0.750  0.49

Entry 3:
Computed, not measured: a relaxed MoSe2 crystal at the PBE level of DFT.

a = 3.316 Å, b = 3.316 Å, c = 14.334 Å
α = 90.00°, β = 90.00°, γ = 120.00°
Element x y z (fractional)
Mo 0.333 0.667 0.250
Mo 0.667 0.333 0.750
Se 0.667 0.333 0.133
Se 0.667 0.333 0.367
Se 0.333 0.667 0.633
Se 0.333 0.667 0.867

Number 1: raw total energy -6.421 eV/atom, volume 145.9 Å³/f.u.. Number 2: raw total energy -5.958 eV/atom, volume 75.7 Å³/f.u.. Number 3: raw total energy -6.616 eV/atom, volume 68.3 Å³/f.u..